DFT (GGA-PBE) results for an optimized crystal structure of PmNdZnHg.

a = 3.7330 Å, b = 3.7330 Å, c = 7.5512 Å
α = 90.00°, β = 90.00°, γ = 90.00°
Closest atoms and distances in Å follow each position.
Element x y z (fractional)
Pm  0.0000  0.0000  0.0000  4 Zn 3.16, 4 Hg 3.30, 1 Nd 3.52
Nd  0.0000  0.0000  0.5345  4 Zn 3.18, 4 Hg 3.34, 1 Pm 3.52
Zn  0.5000  0.5000  0.7705  4 Pm 3.16, 4 Nd 3.18
Hg  0.5000  0.5000  0.2633  4 Pm 3.30, 4 Nd 3.34

Properties
The density of states at the Fermi level comes out at 3.95 states/eV per cell. The calculation puts the volume at 26.3 Å³/atom. The value obtained for the energy above the most stable polymorph in this dataset is 0 meV/atom. The energy of formation is -399 meV/atom. The value obtained for the size of the total moment is 0.0 μB per cell.


DFT (GGA-PBE) results for an optimized crystal structure of Sr2Mg6AlCd.

a = 8.1284 Å, b = 10.0367 Å, c = 7.2618 Å
α = 90.00°, β = 90.00°, γ = 90.00°
Closest atoms and distances in Å follow each position.
Element x y z (fractional)
Sr  0.2500  0.0088  0.2435  1 Al 3.36, 1 Cd 3.48, 6 Mg 3.60-3.76
Sr  0.2500  0.4912  0.2435  1 Al 3.36, 1 Cd 3.48, 6 Mg 3.60-3.76
Sr  0.7500  0.5088  0.7565  1 Al 3.36, 1 Cd 3.48, 6 Mg 3.60-3.76
Sr  0.7500  0.9912  0.7565  1 Al 3.36, 1 Cd 3.48, 6 Mg 3.60-3.76
Mg  0.0626  0.2500  0.9086  1 Cd 2.81, 1 Al 2.93, 1 Mg 3.05
Mg  0.0675  0.7500  0.5574  1 Al 2.73, 1 Mg 2.97, 1 Cd 3.05
Mg  0.2500  0.0008  0.7387  1 Al 2.80, 1 Cd 2.86
Mg  0.2500  0.4992  0.7387  1 Al 2.80, 1 Cd 2.86
Mg  0.4325  0.7500  0.5574  1 Al 2.73, 1 Mg 2.97, 1 Cd 3.05
Mg  0.4374  0.2500  0.9086  1 Cd 2.81, 1 Al 2.93, 1 Mg 3.05
Mg  0.5626  0.7500  0.0914  1 Cd 2.81, 1 Al 2.93, 1 Mg 3.05
Mg  0.5675  0.2500  0.4426  1 Al 2.73, 1 Mg 2.97, 1 Cd 3.05
Mg  0.7500  0.5008  0.2613  1 Al 2.80, 1 Cd 2.86
Mg  0.7500  0.9992  0.2613  1 Al 2.80, 1 Cd 2.86
Mg  0.9325  0.2500  0.4426  1 Al 2.73, 1 Mg 2.97, 1 Cd 3.05
Mg  0.9374  0.7500  0.0914  1 Cd 2.81, 1 Al 2.93, 1 Mg 3.05
Al  0.2500  0.2500  0.5646  6 Mg 2.73-2.93
Al  0.7500  0.7500  0.4354  6 Mg 2.73-2.93
Cd  0.2500  0.7500  0.9248  6 Mg 2.81-3.05
Cd  0.7500  0.2500  0.0752  6 Mg 2.81-3.05

Properties
The density of states at the Fermi level comes out at 13.34 states/eV per cell. The calculation puts the volume at 29.6 Å³/atom. The energy of formation is 8 meV/atom. The value obtained for the size of the total moment is 0.0 μB per cell.


DFT (GGA-PBE) results for an optimized crystal structure of KURh4S8.

a = 7.1671 Å, b = 7.1671 Å, c = 7.1671 Å
α = 64.10°, β = 64.10°, γ = 64.10°
Closest atoms and distances in Å follow each position.
Element x y z (fractional)
K  0.0000  0.0000  0.0000  4 S 2.67-2.86
U  0.5793  0.5793  0.5793  6 S 2.58-2.60
Rh  0.0978  0.6012  0.6012  6 S 2.37-2.53
Rh  0.2207  0.2207  0.2207  4 S 2.36-2.37
Rh  0.6012  0.0978  0.6012  6 S 2.37-2.53
Rh  0.6012  0.6012  0.0978  6 S 2.37-2.53
S  0.3332  0.3332  0.8358  3 Rh 2.36-2.49, 1 U 2.58
S  0.3332  0.8358  0.3332  3 Rh 2.36-2.49, 1 U 2.58
S  0.3604  0.3604  0.3604  4 Rh 2.37-2.53
S  0.4263  0.8254  0.8254  2 Rh 2.37, 1 U 2.60
S  0.8254  0.4263  0.8254  2 Rh 2.37, 1 U 2.60
S  0.8254  0.8254  0.4263  2 Rh 2.37, 1 U 2.60
S  0.8318  0.8318  0.8318  3 Rh 2.44
S  0.8358  0.3332  0.3332  3 Rh 2.36-2.49, 1 U 2.58

Properties
For the formation energy from raw total energies, the calculation gives -13.482 kcal/mol of atoms. The density of states at the Fermi level comes out at 12.57 states/eV per cell. The calculation puts the volume at 20.3 Å³/atom. The value obtained for the size of the total moment is 0.8 μB per cell.


DFT (GGA-PBE) results for an optimized crystal structure of Ba2Mg4In3Ga.

a = 4.8915 Å, b = 4.8915 Å, c = 12.3342 Å
α = 90.00°, β = 90.00°, γ = 90.00°
Closest atoms and distances in Å follow each position.
Element x y z (fractional)
Ba  0.0000  0.5000  0.2445  8 Mg 3.75-3.99, 6 In 3.76-3.88, 2 Ga 3.88
Ba  0.5000  0.0000  0.7555  8 Mg 3.75-3.99, 6 In 3.76-3.88, 2 Ga 3.88
Mg  0.0000  0.0000  0.5000  4 In 2.97
Mg  0.0000  0.5000  0.8727  2 Ga 2.91, 3 In 2.91
Mg  0.5000  0.0000  0.1273  2 Ga 2.91, 3 In 2.91
Mg  0.5000  0.5000  0.5000  4 In 2.97
In  0.0000  0.0000  0.0000  4 Mg 2.91
In  0.0000  0.5000  0.6364  5 Mg 2.91-2.97
In  0.5000  0.0000  0.3636  5 Mg 2.91-2.97
Ga  0.5000  0.5000  0.0000  4 Mg 2.91

Properties
The density of states at the Fermi level comes out at 7.28 states/eV per cell. The calculation puts the volume at 29.5 Å³/atom. The energy of formation is -268 meV/atom. The value obtained for the size of the total moment is 0.0 μB per cell.


The highest density of states at the Fermi level belongs to which entry? Sr2Mg6AlCd


Which of these has the highest density of states at the Fermi level? Sr2Mg6AlCd